First-principles (PBE-GGA) data for a relaxed structure of Hg5Sb2Pb4, as listed in the Alexandria database.

As for the size of the total moment: 0.000 μB/f.u. The value obtained for the final energy is -2.170 eV/atom. Its space group is P2/m, No. 10. The formation energy without anion corrections is 0.065 eV/atom.

a = 3.959 Å, b = 8.591 Å, c = 9.920 Å
α = 84.34°, β = 90.00°, γ = 90.00°
Fractional coordinates of all 11 atoms:
Pb1 0.500 0.741 0.655
Hg1 0.000 0.537 0.852
Hg2 0.000 0.662 0.384
Sb1 0.000 0.952 0.829
Hg3 0.000 0.000 0.500
Hg4 0.000 0.463 0.148
Pb2 0.500 0.218 0.946
Pb3 0.500 0.259 0.345
Sb2 0.000 0.048 0.171
Hg5 0.000 0.338 0.616
Pb4 0.500 0.782 0.054